(1)
# Ca2PrCu

An optimized crystal structure of Ca2PrCu (GGA-PBE, Alexandria).

Cell lengths 3.5526, 3.5526, 9.6485 Å; angles 90.00, 90.00, 90.00 degrees
Fractional positions:
1 Ca 0.0000 0.0000 0.1862
2 Ca 0.0000 0.0000 0.8138
3 Pr 0.5000 0.5000 0.5000
4 Cu 0.5000 0.5000 0.0000

Properties
DOS(E_F) = 5.41 states/eV/cell
Calculated formation energy = 2 kJ per mole of atoms
Excess energy over the best structure of this formula in the dataset = 0.0415 eV per atom
Calculated total energy = -3.20 eV/atom

(2)
# Ac8Ni3OsI4

An optimized crystal structure of Ac8Ni3OsI4 (GGA-PBE, Alexandria).

Cell lengths 9.9960, 9.9960, 9.9960 Å; angles 51.67, 51.67, 51.67 degrees
Fractional positions:
1 Ac 0.2266 0.2266 0.2266
2 Ac 0.2316 0.7263 0.7263
3 Ac 0.2737 0.2737 0.7684
4 Ac 0.2737 0.7684 0.2737
5 Ac 0.7263 0.2316 0.7263
6 Ac 0.7263 0.7263 0.2316
7 Ac 0.7684 0.2737 0.2737
8 Ac 0.7734 0.7734 0.7734
9 Ni 0.0000 0.0000 0.5000
10 Ni 0.0000 0.5000 0.0000
11 Ni 0.5000 0.0000 0.0000
12 Os 0.5000 0.5000 0.5000
13 I 0.0000 0.0000 0.0000
14 I 0.0000 0.5000 0.5000
15 I 0.5000 0.0000 0.5000
16 I 0.5000 0.5000 0.0000

Properties
DOS(E_F) = 8.31 states/eV/cell
Calculated total energy = -4.95 eV/atom
E_form (uncorrected) = -0.718 eV/atom